Entry one
! CaTbNd3, relaxed, DFT PBE-GGA; values from VASP
! Fermi-level density of states = 1.79 states/eV/atom
&SYSTEM
  ibrav = 0, nat = 10, ntyp = 3
/
ATOMIC_SPECIES
Ca 40.08 Ca.upf
Tb 158.93 Tb.upf
Nd 144.24 Nd.upf
CELL_PARAMETERS angstrom
6.222 0.000 0.000
3.111 5.388 0.000
3.111 1.796 11.849
ATOMIC_POSITIONS angstrom
Ca 3.111 1.796 0.000
Ca 6.222 3.592 0.002
Tb 3.111 1.796 5.935
Tb 9.332 5.388 5.914
Nd 4.179 3.573 8.724
Nd 7.259 1.833 8.724
Nd 5.217 1.814 3.125
Nd 5.184 5.351 3.125
Nd 8.264 3.611 3.125
Nd 7.226 5.370 8.724

Entry two
! CaTbNd3, relaxed, DFT PBE-GGA; values from VASP
! Fermi-level density of states = 1.71 states/eV/atom
&SYSTEM
  ibrav = 0, nat = 10, ntyp = 3
/
ATOMIC_SPECIES
Ca 40.08 Ca.upf
Tb 158.93 Tb.upf
Nd 144.24 Nd.upf
CELL_PARAMETERS angstrom
-4.842 2.877 -0.385
-1.337 -3.115 -6.448
0.299 -3.180 13.844
ATOMIC_POSITIONS angstrom
Ca -3.986 -1.512 -2.553
Ca -1.894 -1.906 9.564
Tb -4.563 -1.628 3.827
Tb -1.317 -1.789 3.184
Nd -5.543 -2.646 8.545
Nd -0.337 -0.772 -1.534
Nd -2.576 -3.487 6.328
Nd -3.305 0.069 0.683
Nd -1.999 -3.367 -0.017
Nd -3.881 -0.051 7.028

Stability order, top to bottom: entry two, entry one

Entry one
! CaTb7Nd3, relaxed, DFT PBE-GGA; values from VASP
! Fermi-level density of states = 1.50 states/eV/atom
&SYSTEM
  ibrav = 0, nat = 11, ntyp = 3
/
ATOMIC_SPECIES
Ca 40.08 Ca.upf
Tb 158.93 Tb.upf
Nd 144.24 Nd.upf
CELL_PARAMETERS angstrom
8.769 0.000 0.000
0.000 7.156 0.000
0.000 -3.578 6.198
ATOMIC_POSITIONS angstrom
Ca 3.904 0.000 4.132
Tb 1.011 -1.806 5.174
Tb 1.011 0.000 2.047
Tb 1.086 3.578 2.066
Tb 3.895 5.345 1.046
Tb 3.895 1.812 1.046
Tb 3.895 3.578 4.106
Tb 1.011 1.806 5.174
Nd 6.921 1.822 3.080
Nd 6.921 3.578 0.038
Nd 6.921 5.334 3.080

Entry two
! CaTb7Nd3, relaxed, DFT PBE-GGA; values from VASP
! Fermi-level density of states = 1.41 states/eV/atom
&SYSTEM
  ibrav = 0, nat = 11, ntyp = 3
/
ATOMIC_SPECIES
Ca 40.08 Ca.upf
Tb 158.93 Tb.upf
Nd 144.24 Nd.upf
CELL_PARAMETERS angstrom
-2.597 1.313 -5.810
5.483 -3.898 -3.884
-3.577 -6.877 -0.507
ATOMIC_POSITIONS angstrom
Ca -0.345 -4.731 -5.101
Tb -1.609 -1.495 -5.637
Tb 1.029 -6.531 -8.158
Tb 1.363 -1.917 -3.193
Tb -2.054 -7.545 -7.009
Tb 0.953 -5.387 -2.196
Tb -1.720 -2.931 -2.043
Tb 0.918 -7.967 -4.565
Nd 3.907 -4.416 -3.297
Nd -1.299 0.656 -2.905
Nd -2.001 -6.359 -1.095

Stability order, top to bottom: entry one, entry two

Entry one
! Ca2TbNd2, relaxed, DFT PBE-GGA; values from VASP
! Fermi-level density of states = 1.39 states/eV/atom
&SYSTEM
  ibrav = 0, nat = 5, ntyp = 3
/
ATOMIC_SPECIES
Ca 40.08 Ca.upf
Tb 158.93 Tb.upf
Nd 144.24 Nd.upf
CELL_PARAMETERS angstrom
4.644 0.000 0.000
0.000 4.644 0.000
-2.322 -2.322 8.768
ATOMIC_POSITIONS angstrom
Ca 2.322 0.000 4.384
Ca 0.000 2.322 4.384
Tb 0.000 0.000 0.000
Nd 0.000 0.000 7.218
Nd 2.322 2.322 1.550

Entry two
! Ca2TbNd2, relaxed, DFT PBE-GGA; values from VASP
! Fermi-level density of states = 1.28 states/eV/atom
&SYSTEM
  ibrav = 0, nat = 5, ntyp = 3
/
ATOMIC_SPECIES
Ca 40.08 Ca.upf
Tb 158.93 Tb.upf
Nd 144.24 Nd.upf
CELL_PARAMETERS angstrom
-0.064 -1.399 3.422
-2.838 -2.109 1.083
7.477 -12.639 -5.034
ATOMIC_POSITIONS angstrom
Ca 3.568 -8.836 -1.552
Ca 1.006 -7.311 1.023
Tb 0.000 0.000 0.000
Nd 0.416 -3.511 0.572
Nd 4.159 -12.636 -1.100

Stability order, top to bottom: entry two, entry one

Entry one
! CaTbNd2, relaxed, DFT PBE-GGA; values from VASP
! Fermi-level density of states = 1.35 states/eV/atom
&SYSTEM
  ibrav = 0, nat = 4, ntyp = 3
/
ATOMIC_SPECIES
Ca 40.08 Ca.upf
Tb 158.93 Tb.upf
Nd 144.24 Nd.upf
CELL_PARAMETERS angstrom
3.669 0.000 0.000
1.835 3.178 0.000
1.835 1.059 12.211
ATOMIC_POSITIONS angstrom
Ca 3.669 2.119 6.105
Tb 0.000 0.000 0.000
Nd 5.504 3.178 9.323
Nd 1.835 1.059 2.888

Entry two
! CaTbNd2, relaxed, DFT PBE-GGA; values from VASP
! Fermi-level density of states = 1.43 states/eV/atom
&SYSTEM
  ibrav = 0, nat = 4, ntyp = 3
/
ATOMIC_SPECIES
Nd 144.24 Nd.upf
Ca 40.08 Ca.upf
Tb 158.93 Tb.upf
CELL_PARAMETERS angstrom
-2.395 2.128 -1.797
-1.984 -2.967 -0.869
-5.623 1.163 8.870
ATOMIC_POSITIONS angstrom
Nd -4.307 0.890 6.794
Nd -1.316 0.272 2.076
Ca -5.001 0.162 3.102
Tb -2.190 -0.419 -1.333

Entry three
! CaTbNd2, relaxed, DFT PBE-GGA; values from VASP
! Fermi-level density of states = 1.56 states/eV/atom
&SYSTEM
  ibrav = 0, nat = 4, ntyp = 3
/
ATOMIC_SPECIES
Nd 144.24 Nd.upf
Ca 40.08 Ca.upf
Tb 158.93 Tb.upf
CELL_PARAMETERS angstrom
-0.627 -4.743 -1.721
4.622 -1.373 2.099
-2.423 -1.305 4.481
ATOMIC_POSITIONS angstrom
Nd -1.211 -0.653 2.241
Nd 2.311 -0.686 1.050
Ca -0.314 -2.372 -0.860
Tb 0.786 -3.711 2.430

Entry four
! CaTbNd2, relaxed, DFT PBE-GGA; values from VASP
! Fermi-level density of states = 1.75 states/eV/atom
&SYSTEM
  ibrav = 0, nat = 4, ntyp = 3
/
ATOMIC_SPECIES
Nd 144.24 Nd.upf
Ca 40.08 Ca.upf
Tb 158.93 Tb.upf
CELL_PARAMETERS angstrom
5.859 0.000 0.000
2.930 5.074 0.000
2.930 1.691 4.784
ATOMIC_POSITIONS angstrom
Nd 2.930 1.691 1.196
Nd 8.789 5.074 3.588
Ca 5.859 3.383 2.392
Tb 0.000 0.000 0.000

Stability order, top to bottom: entry one, entry two, entry three, entry four

Entry one
! CaTbNd2, relaxed, DFT PBE-GGA; values from VASP
! Fermi-level density of states = 1.31 states/eV/atom
&SYSTEM
  ibrav = 0, nat = 4, ntyp = 3
/
ATOMIC_SPECIES
Ca 40.08 Ca.upf
Tb 158.93 Tb.upf
Nd 144.24 Nd.upf
CELL_PARAMETERS angstrom
3.668 0.000 0.000
1.834 3.177 0.000
1.834 1.059 12.215
ATOMIC_POSITIONS angstrom
Ca 3.668 2.118 6.101
Tb 3.668 2.118 0.007
Nd 1.834 1.059 9.333
Nd 1.834 1.059 2.883

Entry two
! CaTbNd2, relaxed, DFT PBE-GGA; values from VASP
! Fermi-level density of states = 1.21 states/eV/atom
&SYSTEM
  ibrav = 0, nat = 4, ntyp = 3
/
ATOMIC_SPECIES
Nd 144.24 Nd.upf
Ca 40.08 Ca.upf
Tb 158.93 Tb.upf
CELL_PARAMETERS angstrom
-0.205 -3.325 1.396
2.366 -1.050 2.519
-7.153 2.894 10.512
ATOMIC_POSITIONS angstrom
Nd -4.990 1.698 7.982
Nd -0.003 -3.179 6.445
Ca 0.000 0.000 0.000
Tb -2.497 -0.741 7.214

Stability order, top to bottom: entry one, entry two

Entry one
! CaTb7Nd12, relaxed, DFT PBE-GGA; values from VASP
! Fermi-level density of states = 1.81 states/eV/atom
&SYSTEM
  ibrav = 0, nat = 20, ntyp = 3
/
ATOMIC_SPECIES
Ca 40.08 Ca.upf
Tb 158.93 Tb.upf
Nd 144.24 Nd.upf
CELL_PARAMETERS angstrom
-5.330 0.226 -7.127
-1.439 -8.782 0.266
-7.325 0.920 4.976
ATOMIC_POSITIONS angstrom
Ca 0.000 0.000 0.000
Tb -12.188 -4.262 -1.265
Tb -3.327 -0.403 -2.044
Tb -3.501 -0.955 1.496
Tb -7.048 -3.818 -0.943
Tb -10.594 -6.681 -3.381
Tb -10.769 -7.233 0.159
Tb -1.908 -3.374 -0.620
Nd -10.199 -1.440 -2.414
Nd -5.423 -2.147 -4.453
Nd -7.088 -0.597 -1.953
Nd -8.123 -3.940 -4.141
Nd -7.110 -0.559 1.726
Nd -9.603 -2.420 0.765
Nd -4.492 -5.216 -2.650
Nd -6.985 -7.077 -3.611
Nd -5.972 -3.696 2.255
Nd -7.007 -7.039 0.068
Nd -8.672 -5.489 2.567
Nd -3.896 -6.196 0.529

Entry two
! CaTb7Nd12, relaxed, DFT PBE-GGA; values from VASP
! Fermi-level density of states = 1.25 states/eV/atom
&SYSTEM
  ibrav = 0, nat = 20, ntyp = 3
/
ATOMIC_SPECIES
Ca 40.08 Ca.upf
Tb 158.93 Tb.upf
Nd 144.24 Nd.upf
CELL_PARAMETERS angstrom
9.515 0.000 -3.364
-4.758 8.240 -3.364
0.000 0.000 10.092
ATOMIC_POSITIONS angstrom
Ca 0.000 0.000 0.000
Tb 2.379 4.120 -3.364
Tb -2.379 4.120 3.364
Tb 4.758 0.000 3.364
Tb 2.379 4.120 1.682
Tb 0.000 0.000 5.046
Tb 4.758 0.000 -1.682
Tb -2.379 4.120 -1.682
Nd 1.092 6.121 3.368
Nd 5.976 6.121 -3.271
Nd 3.665 2.119 -0.004
Nd -1.218 2.119 6.635
Nd 7.071 0.004 0.093
Nd 4.760 4.007 3.360
Nd -2.313 8.236 3.271
Nd -0.003 4.234 0.004
Nd 3.532 6.126 -0.093
Nd 1.226 2.115 3.457
Nd 5.847 2.115 6.725
Nd -1.090 6.126 -3.360

Stability order, top to bottom: entry one, entry two

Entry one
! CaTb4Nd, relaxed, DFT PBE-GGA; values from VASP
! Fermi-level density of states = 1.54 states/eV/atom
&SYSTEM
  ibrav = 0, nat = 12, ntyp = 3
/
ATOMIC_SPECIES
Ca 40.08 Ca.upf
Tb 158.93 Tb.upf
Nd 144.24 Nd.upf
CELL_PARAMETERS angstrom
3.612 0.000 0.000
0.000 11.823 -2.261
0.000 -2.571 9.955
ATOMIC_POSITIONS angstrom
Ca 1.806 4.626 3.847
Ca 0.000 0.000 0.000
Tb 1.805 1.116 3.029
Tb 3.611 3.510 0.818
Tb 1.807 8.135 4.665
Tb 0.001 5.742 6.876
Tb 0.001 7.057 1.748
Tb 1.807 9.391 -0.162
Tb 3.611 2.194 5.946
Tb 1.805 -0.140 7.855
Nd 0.000 -1.286 4.977
Nd 1.806 5.911 -1.131

Entry two
! CaTb4Nd, relaxed, DFT PBE-GGA; values from VASP
! Fermi-level density of states = 1.14 states/eV/atom
&SYSTEM
  ibrav = 0, nat = 6, ntyp = 3
/
ATOMIC_SPECIES
Nd 144.24 Nd.upf
Ca 40.08 Ca.upf
Tb 158.93 Tb.upf
CELL_PARAMETERS angstrom
-2.713 -3.641 4.931
2.299 -6.168 1.267
3.491 -1.191 5.597
ATOMIC_POSITIONS angstrom
Nd 0.000 0.000 0.000
Ca 0.769 -2.750 2.949
Tb 0.164 -6.288 4.560
Tb 0.766 -3.774 6.748
Tb 1.927 -6.889 7.388
Tb 3.298 -5.050 4.897

Stability order, top to bottom: entry one, entry two

Entry one
! Ca2TbNd4, relaxed, DFT PBE-GGA; values from VASP
! Fermi-level density of states = 1.53 states/eV/atom
&SYSTEM
  ibrav = 0, nat = 7, ntyp = 3
/
ATOMIC_SPECIES
Nd 144.24 Nd.upf
Ca 40.08 Ca.upf
Tb 158.93 Tb.upf
CELL_PARAMETERS angstrom
3.543 0.000 -0.592
-0.252 5.741 -1.508
0.257 0.198 12.424
ATOMIC_POSITIONS angstrom
Nd 0.177 3.361 1.058
Nd 3.370 2.578 9.265
Nd 1.282 5.140 7.664
Nd 2.266 0.798 2.659
Ca 1.061 1.711 6.346
Ca 2.486 4.227 3.977
Tb 0.000 0.000 0.000

Entry two
! Ca2TbNd4, relaxed, DFT PBE-GGA; values from VASP
! Fermi-level density of states = 1.75 states/eV/atom
&SYSTEM
  ibrav = 0, nat = 7, ntyp = 3
/
ATOMIC_SPECIES
Ca 40.08 Ca.upf
Tb 158.93 Tb.upf
Nd 144.24 Nd.upf
CELL_PARAMETERS angstrom
-2.978 -4.053 -2.839
4.782 -3.209 -0.435
-2.886 -0.385 9.452
ATOMIC_POSITIONS angstrom
Ca 0.399 -4.648 0.342
Ca -1.481 -2.999 5.835
Tb 0.000 0.000 0.000
Nd -0.398 -6.261 3.481
Nd -0.685 -1.386 2.697
Nd 2.391 -1.605 -0.218
Nd -1.489 -2.026 -1.419

Stability order, top to bottom: entry one, entry two

Entry one
! CaTbNdY, relaxed, DFT PBE-GGA; values from VASP
! Fermi-level density of states = 1.74 states/eV/atom
&SYSTEM
  ibrav = 0, nat = 4, ntyp = 4
/
ATOMIC_SPECIES
Y 88.91 Y.upf
Nd 144.24 Nd.upf
Ca 40.08 Ca.upf
Tb 158.93 Tb.upf
CELL_PARAMETERS angstrom
5.813 0.000 0.000
2.906 5.034 0.000
2.906 1.678 4.746
ATOMIC_POSITIONS angstrom
Y 8.719 5.034 3.560
Nd 2.906 1.678 1.187
Ca 0.000 0.000 0.000
Tb 5.813 3.356 2.373

Entry two
! CaTbNdY, relaxed, DFT PBE-GGA; values from VASP
! Fermi-level density of states = 1.52 states/eV/atom
&SYSTEM
  ibrav = 0, nat = 4, ntyp = 4
/
ATOMIC_SPECIES
Ca 40.08 Ca.upf
Tb 158.93 Tb.upf
Nd 144.24 Nd.upf
Y 88.91 Y.upf
CELL_PARAMETERS angstrom
3.654 0.000 0.005
0.000 3.654 -0.005
-0.013 0.013 10.494
ATOMIC_POSITIONS angstrom
Ca 0.525 3.129 7.616
Tb 0.531 3.122 2.296
Nd 2.355 1.298 4.767
Y 2.348 1.306 10.385

Stability order, top to bottom: entry two, entry one

Entry one
! CaNd2Tc, relaxed, DFT PBE-GGA; values from VASP
! Fermi-level density of states = 1.38 states/eV/atom
&SYSTEM
  ibrav = 0, nat = 4, ntyp = 3
/
ATOMIC_SPECIES
Ca 40.08 Ca.upf
Nd 144.24 Nd.upf
Tc 98.00 Tc.upf
CELL_PARAMETERS angstrom
3.577 0.000 0.000
0.000 3.577 0.000
0.000 0.000 9.561
ATOMIC_POSITIONS angstrom
Ca 1.788 1.788 4.781
Nd 0.000 0.000 7.876
Nd 0.000 0.000 1.685
Tc 1.788 1.788 0.000

Entry two
! CaNd2Tc, relaxed, DFT PBE-GGA; values from VASP
! Fermi-level density of states = 1.52 states/eV/atom
&SYSTEM
  ibrav = 0, nat = 4, ntyp = 3
/
ATOMIC_SPECIES
Ca 40.08 Ca.upf
Nd 144.24 Nd.upf
Tc 98.00 Tc.upf
CELL_PARAMETERS angstrom
3.625 0.000 0.000
1.812 3.139 0.000
1.812 1.046 11.262
ATOMIC_POSITIONS angstrom
Ca 0.000 0.000 0.000
Nd 1.812 1.046 7.646
Nd 5.437 3.139 3.616
Tc 3.625 2.093 5.631

Stability order, top to bottom: entry one, entry two

Entry one
Material: CaNd2Te4
Method: DFT, PBE-GGA
State: relaxed Values from VASP.

Quantum ESPRESSO input file:
```
&SYSTEM
  ibrav = 0, nat = 14, ntyp = 3
/
ATOMIC_SPECIES
Ca 40.08 Ca.upf
Nd 144.24 Nd.upf
Te 127.60 Te.upf
CELL_PARAMETERS angstrom
-6.645 -0.132 -4.963
6.691 -2.119 -4.421
-1.052 -5.360 6.243
ATOMIC_POSITIONS angstrom
Ca -3.837 -3.308 -1.706
Ca 0.000 0.000 0.000
Nd 1.606 -6.330 0.286
Nd 0.463 -3.401 -2.903
Nd -2.602 -1.844 -5.773
Nd -1.482 -3.647 2.108
Te 3.787 -3.208 -3.643
Te 0.459 -3.309 -6.116
Te 0.753 -5.625 3.303
Te -2.245 -4.912 -4.326
Te -1.448 -5.186 -0.713
Te -1.778 -1.101 -2.757
Te 1.243 -2.940 0.180
Te -4.799 -4.161 1.506
```

Entry two
Material: CaNd2Te4
Method: DFT, PBE-GGA
State: relaxed Values from VASP.

Quantum ESPRESSO input file:
```
&SYSTEM
  ibrav = 0, nat = 14, ntyp = 3
/
ATOMIC_SPECIES
Ca 40.08 Ca.upf
Nd 144.24 Nd.upf
Te 127.60 Te.upf
CELL_PARAMETERS angstrom
-3.198 3.064 -0.324
-3.497 -6.781 0.823
0.153 1.785 15.351
ATOMIC_POSITIONS angstrom
Ca -2.665 1.654 11.505
Ca -3.877 -3.586 4.346
Nd -1.308 -0.650 6.754
Nd -5.180 -0.645 14.573
Nd -1.362 -1.287 1.278
Nd -5.234 -1.282 9.096
Te -4.408 -1.164 2.071
Te -4.369 -0.705 6.014
Te -2.134 -0.768 13.780
Te -2.173 -1.227 9.836
Te -6.217 -2.004 11.965
Te -0.325 0.072 3.885
Te -1.599 1.532 -0.162
Te -1.523 2.425 7.514
```

Stability order, top to bottom: entry one, entry two